# 1
Crystalline HfTlP2O at its relaxed geometry. Source: Alexandria, functional GGA-PBE.

a = 5.013 Å, b = 5.013 Å, c = 4.055 Å
α = 90.00°, β = 90.00°, γ = 90.00°
Space group P4/mmm (No. 123)
Unique sites:
Hf  0.000  0.000  0.000 (multiplicity 1)
Tl  0.500  0.500  0.500 (multiplicity 1)
P  0.000  0.500  0.500 (multiplicity 2)
O  0.500  0.500  0.000 (multiplicity 1)

spin magnetization: 0.000 μB per atom
total energy: -4.91 eV per atom
distance to the lowest polymorph of the same formula: 1.326 eV per atom
raw formation energy: 0.71 eV/atom

# 2
Crystalline HfTlP2O at its relaxed geometry. Source: Alexandria, functional GGA-PBE.

a = 5.233 Å, b = 5.233 Å, c = 3.966 Å
α = 90.00°, β = 90.00°, γ = 90.00°
Space group P4/mmm (No. 123)
Unique sites:
Hf  0.000  0.000  0.000 (multiplicity 1)
Tl  0.500  0.500  0.500 (multiplicity 1)
P  0.000  0.500  0.000 (multiplicity 2)
O  0.000  0.000  0.500 (multiplicity 1)

spin magnetization: 0.000 μB per atom
total energy: -6.24 eV per atom
distance to the lowest polymorph of the same formula: 0.000 eV per atom
raw formation energy: -0.62 eV/atom